1.
# CaPbW2 | Alexandria | GGA-PBE | optimized geometry
data_CaPbW2
_chemical_formula_sum 'Ca3 Pb3 W6'
_cell_length_a 3.2875
_cell_length_b 3.2875
_cell_length_c 29.0787
_cell_angle_alpha 90.00
_cell_angle_beta 90.00
_cell_angle_gamma 120.00
_space_group_name_H-M_alt 'R 3 m'
_space_group_IT_number 160
_space_group_name_Hall 'R 3 -2"'
loop_
_atom_site_label
_atom_site_fract_x
_atom_site_fract_y
_atom_site_fract_z
Ca1 0.0000 0.0000 0.0000
Pb1 0.0000 0.0000 0.7657
W1 0.0000 0.0000 0.2437
W2 0.0000 0.0000 0.5179
# Electronic total energy ... -7.321 eV/atom


2.
# TbSm2Er3 | Alexandria | GGA-PBE | optimized geometry
data_TbSm2Er3
_chemical_formula_sum 'Tb4 Sm8 Er12'
_cell_length_a 11.951
_cell_length_b 5.652
_cell_length_c 11.935
_cell_angle_alpha 90.00
_cell_angle_beta 109.31
_cell_angle_gamma 90.00
_space_group_name_H-M_alt 'C 1 2/m 1'
_space_group_IT_number 12
loop_
_space_group_symop_operation_xyz
'x,y,z'
'-x,-y,-z'
'-x,y,-z'
'x,-y,z'
'x+1/2,y+1/2,z'
'-x+1/2,-y+1/2,-z'
'-x+1/2,y+1/2,-z'
'x+1/2,-y+1/2,z'
loop_
_atom_site_label
_atom_site_fract_x
_atom_site_fract_y
_atom_site_fract_z
Tb1 0.166 0.000 0.333
Sm1 0.125 0.000 0.625
Sm2 0.125 0.500 0.124
Er1 0.083 0.000 0.917
Er2 0.083 0.500 0.417
Er3 0.168 0.500 0.834
# Electronic total energy ... -4.552 eV/atom


3.
# Cu2SbI4 | Alexandria | GGA-PBE | optimized geometry
data_Cu2SbI4
_chemical_formula_sum 'Cu4 Sb2 I8'
_cell_length_a 8.903
_cell_length_b 8.903
_cell_length_c 6.806
_cell_angle_alpha 90.00
_cell_angle_beta 90.00
_cell_angle_gamma 90.00
_space_group_name_H-M_alt 'I 4/m'
_space_group_IT_number 87
_space_group_name_Hall '-I 4'
loop_
_atom_site_label
_atom_site_fract_x
_atom_site_fract_y
_atom_site_fract_z
Cu1 0.000 0.500 0.250
Sb1 0.000 0.000 0.000
I1 0.134 0.682 0.000
# Formation energy (no corrections) ... -0.0816 eV per atom


4.
# InAsSCl2 | Alexandria | GGA-PBE | optimized geometry
data_InAsSCl2
_chemical_formula_sum 'In1 As1 S1 Cl2'
_cell_length_a 5.040
_cell_length_b 5.040
_cell_length_c 5.424
_cell_angle_alpha 90.00
_cell_angle_beta 90.00
_cell_angle_gamma 90.00
_space_group_name_H-M_alt 'P 4/m m m'
_space_group_IT_number 123
_space_group_name_Hall '-P 4 2'
loop_
_atom_site_label
_atom_site_fract_x
_atom_site_fract_y
_atom_site_fract_z
In1 0.000 0.000 0.000
As1 0.500 0.500 0.500
S1 0.000 0.000 0.500
Cl1 0.000 0.500 0.000
# Formation energy (no corrections) ... 0.1008 eV per atom


5.
# IrCNF2 | Alexandria | GGA-PBE | optimized geometry
data_IrCNF2
_chemical_formula_sum 'Ir1 C1 N1 F2'
_cell_length_a 4.722
_cell_length_b 4.722
_cell_length_c 2.448
_cell_angle_alpha 90.00
_cell_angle_beta 90.00
_cell_angle_gamma 90.00
_space_group_name_H-M_alt 'P 4/m m m'
_space_group_IT_number 123
_space_group_name_Hall '-P 4 2'
loop_
_atom_site_label
_atom_site_fract_x
_atom_site_fract_y
_atom_site_fract_z
Ir1 0.000 0.000 0.000
C1 0.500 0.500 0.500
N1 0.500 0.500 0.000
F1 0.000 0.500 0.500
# Formation energy (no corrections) ... 0.4786 eV per atom


6.
# YTl2Ag2 | Alexandria | GGA-PBE | optimized geometry
data_YTl2Ag2
_chemical_formula_sum 'Y2 Tl4 Ag4'
_cell_length_a 4.354
_cell_length_b 4.354
_cell_length_c 13.285
_cell_angle_alpha 90.00
_cell_angle_beta 90.00
_cell_angle_gamma 90.00
_space_group_name_H-M_alt 'I 4/m m m'
_space_group_IT_number 139
_space_group_name_Hall '-I 4 2'
loop_
_atom_site_label
_atom_site_fract_x
_atom_site_fract_y
_atom_site_fract_z
Y1 0.000 0.000 0.000
Tl1 0.000 0.500 0.250
Ag1 0.000 0.000 0.401
# Electronic total energy ... -3.391 eV/atom


7.
# NbRh4W | Alexandria | GGA-PBE | optimized geometry
data_NbRh4W
_chemical_formula_sum 'Nb2 Rh8 W2'
_cell_length_a 5.957
_cell_length_b 5.982
_cell_length_c 5.957
_cell_angle_alpha 90.00
_cell_angle_beta 90.00
_cell_angle_gamma 90.00
_space_group_name_H-M_alt 'P m m a'
_space_group_IT_number 51
loop_
_space_group_symop_operation_xyz
'x,y,z'
'-x,-y,-z'
'-x+1/2,-y,z'
'x+1/2,y,-z'
'x+1/2,-y,-z'
'-x+1/2,y,z'
'-x,y,-z'
'x,-y,z'
loop_
_atom_site_label
_atom_site_fract_x
_atom_site_fract_y
_atom_site_fract_z
Nb1 0.250 0.000 0.247
Rh1 0.000 0.254 0.500
Rh2 0.000 0.257 0.000
W1 0.250 0.500 0.748
# Electronic total energy ... -8.689 eV/atom


8.
# YHfNb | Alexandria | GGA-PBE | optimized geometry
data_YHfNb
_chemical_formula_sum 'Y4 Hf4 Nb4'
_cell_length_a 10.709
_cell_length_b 4.993
_cell_length_c 6.359
_cell_angle_alpha 90.00
_cell_angle_beta 125.35
_cell_angle_gamma 90.00
_space_group_name_H-M_alt 'C 1 m 1'
_space_group_IT_number 8
loop_
_space_group_symop_operation_xyz
'x,y,z'
'x,-y,z'
'x+1/2,y+1/2,z'
'x+1/2,-y+1/2,z'
loop_
_atom_site_label
_atom_site_fract_x
_atom_site_fract_y
_atom_site_fract_z
Y1 0.000 0.000 0.000
Y2 0.166 0.500 0.911
Hf1 0.165 0.500 0.419
Hf2 0.496 0.500 0.494
Nb1 0.319 0.000 0.798
Nb2 0.338 0.000 0.335
# Electronic total energy ... -8.608 eV/atom


9.
# PrSmPd10 | Alexandria | GGA-PBE | optimized geometry
data_PrSmPd10
_chemical_formula_sum 'Pr1 Sm1 Pd10'
_cell_length_a 4.501
_cell_length_b 5.354
_cell_length_c 9.265
_cell_angle_alpha 90.00
_cell_angle_beta 90.00
_cell_angle_gamma 90.00
_space_group_name_H-M_alt 'P m m m'
_space_group_IT_number 47
loop_
_space_group_symop_operation_xyz
'x,y,z'
'-x,-y,-z'
'-x,-y,z'
'x,y,-z'
'x,-y,-z'
'-x,y,z'
'-x,y,-z'
'x,-y,z'
loop_
_atom_site_label
_atom_site_fract_x
_atom_site_fract_y
_atom_site_fract_z
Pr1 0.000 0.000 0.000
Sm1 0.000 0.500 0.500
Pd1 0.000 0.000 0.336
Pd2 0.000 0.500 0.169
Pd3 0.500 0.000 0.500
Pd4 0.500 0.250 0.251
Pd5 0.500 0.500 0.000
# Electronic total energy ... -5.638 eV/atom


10.
# Ca2CdS | Alexandria | GGA-PBE | optimized geometry
data_Ca2CdS
_chemical_formula_sum 'Ca8 Cd4 S4'
_cell_length_a 7.912
_cell_length_b 7.912
_cell_length_c 7.772
_cell_angle_alpha 90.00
_cell_angle_beta 90.00
_cell_angle_gamma 90.00
_space_group_name_H-M_alt 'I -4 2 d'
_space_group_IT_number 122
_space_group_name_Hall 'I -4 2bw'
loop_
_atom_site_label
_atom_site_fract_x
_atom_site_fract_y
_atom_site_fract_z
Ca1 0.199 0.250 0.125
Cd1 0.000 0.000 0.500
S1 0.000 0.000 0.000
# Formation energy (no corrections) ... -0.8774 eV per atom


11.
# CeSmGe3 | Alexandria | GGA-PBE | optimized geometry
data_CeSmGe3
_chemical_formula_sum 'Ce4 Sm4 Ge12'
_cell_length_a 4.286
_cell_length_b 26.895
_cell_length_c 4.058
_cell_angle_alpha 90.00
_cell_angle_beta 90.00
_cell_angle_gamma 90.00
_space_group_name_H-M_alt 'C m c m'
_space_group_IT_number 63
_space_group_name_Hall '-C 2c 2'
loop_
_atom_site_label
_atom_site_fract_x
_atom_site_fract_y
_atom_site_fract_z
Ce1 0.000 0.072 0.250
Sm1 0.000 0.203 0.750
Ge1 0.000 0.316 0.750
Ge2 0.000 0.378 0.250
Ge3 0.000 0.472 0.250
# Electronic total energy ... -5.578 eV/atom


12.
# Zr2MnCo | Alexandria | GGA-PBE | optimized geometry
data_Zr2MnCo
_chemical_formula_sum 'Zr4 Mn2 Co2'
_cell_length_a 3.534
_cell_length_b 3.834
_cell_length_c 10.131
_cell_angle_alpha 90.00
_cell_angle_beta 90.00
_cell_angle_gamma 90.00
_space_group_name_H-M_alt 'A m m 2'
_space_group_IT_number 38
loop_
_space_group_symop_operation_xyz
'x,y,z'
'-x,-y,z'
'-x,y,z'
'x,-y,z'
'x,y+1/2,z+1/2'
'-x,-y+1/2,z+1/2'
'-x,y+1/2,z+1/2'
'x,-y+1/2,z+1/2'
loop_
_atom_site_label
_atom_site_fract_x
_atom_site_fract_y
_atom_site_fract_z
Zr1 0.000 0.000 0.000
Zr2 0.500 0.000 0.298
Mn1 0.500 0.000 0.579
Co1 0.000 0.000 0.725
# Electronic total energy ... -8.493 eV/atom


no.,M_tot (Bohr magnetons per cell)
1,0.07
2,0.00
3,2.02
4,1.79
5,1.08
6,0.00
7,0.00
8,0.00
9,0.00
10,0.00
11,2.75
12,2.44